(1)
A relaxed structure of Hg2Se2Br, computed with GGA-PBE.

The raw formation energy comes out at 189 meV/atom. Its distance to the lowest polymorph of the same formula is 0.437 eV per atom. The final energy is -16.60 eV for the cell shown.

abc: 9.3187 9.3187 2.9034
angles: 90.00 90.00 90.00
Closest atoms and distances in Å follow each position.
Space group P4/mbm (No. 127)
One atom of each set of equivalent atoms:
1 Hg 0.1660 0.3340 0.0000 (multiplicity 4)  2 Hg 2.90, 6 Se 2.96-3.19
2 Se 0.1380 0.6380 0.5000 (multiplicity 4)  2 Se 2.90, 6 Hg 2.96-3.19
3 Br 0.0000 0.0000 0.0000 (multiplicity 2)  2 Br 2.90

=====

(2)
A relaxed structure of BaZnAsH2, computed with GGA-PBE.

The final energy is -64.86 eV for the cell shown.

abc: 4.4808 11.5827 6.6303
angles: 90.00 90.00 90.00
Closest atoms and distances in Å follow each position.
Space group Cmcm (No. 63)
One atom of each set of equivalent atoms:
1 Ba 0.0000 0.2166 0.2500 (multiplicity 4)  6 H 2.63-2.71
2 Zn 0.0000 0.5000 0.0000 (multiplicity 4)  2 H 1.69
3 As 0.0000 0.0572 0.7500 (multiplicity 4)  4 Zn 2.86, 1 Ba 3.17, 4 H 3.19
4 H 0.0000 0.3584 0.5603 (multiplicity 8)  1 Zn 1.69